[1]
This record from Alexandria via LeMat-Bulk describes a geometry-optimized CdHgSe2N structure. The functional is PBE-GGA.

The structure in CIF format:
```
data_CdHgSe2N
_space_group_name_H-M_alt 'P 4/m m m'
_space_group_IT_number 123
_space_group_name_Hall '-P 4 2'
_cell_length_a 5.4045
_cell_length_b 5.4045
_cell_length_c 4.2305
_cell_angle_alpha 90.00
_cell_angle_beta 90.00
_cell_angle_gamma 90.00
loop_
_atom_site_label
_atom_site_type_symbol
_atom_site_fract_x
_atom_site_fract_y
_atom_site_fract_z
Cd1 Cd 0.0000 0.0000 0.0000
Hg1 Hg 0.5000 0.5000 0.5000
Se1 Se 0.0000 0.5000 0.0000
N1 N 0.0000 0.0000 0.5000
```

* crystal system: tetragonal
* E_form (uncorrected): 1.030 eV per atom

***

[2]
This record from Alexandria via LeMat-Bulk describes a geometry-optimized KCdTc2 structure. The functional is PBE-GGA.

The structure in CIF format:
```
data_KCdTc2
_space_group_name_H-M_alt 'C m m m'
_space_group_IT_number 65
_space_group_name_Hall '-C 2 2'
_cell_length_a 3.2825
_cell_length_b 4.3534
_cell_length_c 10.6568
_cell_angle_alpha 90.00
_cell_angle_beta 90.00
_cell_angle_gamma 90.00
loop_
_atom_site_label
_atom_site_type_symbol
_atom_site_fract_x
_atom_site_fract_y
_atom_site_fract_z
K1 K 0.0000 0.0000 0.0000
Cd1 Cd 0.0000 0.0000 0.5000
Tc1 Tc 0.0000 0.5000 0.2774
```

* E_form: 0.972 eV per atom
* crystal system: orthorhombic

***

[3]
This record from Alexandria via LeMat-Bulk describes a geometry-optimized Te2HPtI structure. The functional is PBE-GGA.

The structure in CIF format:
```
data_Te2HPtI
_space_group_name_H-M_alt 'P 4/m m m'
_space_group_IT_number 123
_space_group_name_Hall '-P 4 2'
_cell_length_a 5.5958
_cell_length_b 5.5958
_cell_length_c 3.5513
_cell_angle_alpha 90.00
_cell_angle_beta 90.00
_cell_angle_gamma 90.00
loop_
_atom_site_label
_atom_site_type_symbol
_atom_site_fract_x
_atom_site_fract_y
_atom_site_fract_z
Te1 Te 0.0000 0.5000 0.0000
H1 H 0.0000 0.0000 0.5000
Pt1 Pt 0.0000 0.0000 0.0000
I1 I 0.5000 0.5000 0.5000
```

* crystal system: tetragonal

***

[4]
This record from Alexandria via LeMat-Bulk describes a geometry-optimized NaBi2C structure. The functional is PBE-GGA.

The structure in CIF format:
```
data_NaBi2C
_space_group_name_H-M_alt 'I -4 2 d'
_space_group_IT_number 122
_space_group_name_Hall 'I -4 2bw'
_cell_length_a 7.5987
_cell_length_b 7.5987
_cell_length_c 6.9654
_cell_angle_alpha 90.00
_cell_angle_beta 90.00
_cell_angle_gamma 90.00
loop_
_atom_site_label
_atom_site_type_symbol
_atom_site_fract_x
_atom_site_fract_y
_atom_site_fract_z
Na1 Na 0.0000 0.0000 0.0000
Bi1 Bi 0.1584 0.2500 0.6250
C1 C 0.0000 0.0000 0.5000
```

* E_form: 0.760 eV per atom
* crystal system: tetragonal

***

[5]
This record from Alexandria via LeMat-Bulk describes a geometry-optimized NaLiZn2Cu structure. The functional is PBE-GGA.

The structure in CIF format:
```
data_NaLiZn2Cu
_space_group_name_H-M_alt 'P 4/m m m'
_space_group_IT_number 123
_space_group_name_Hall '-P 4 2'
_cell_length_a 4.6954
_cell_length_b 4.6954
_cell_length_c 4.7763
_cell_angle_alpha 90.00
_cell_angle_beta 90.00
_cell_angle_gamma 90.00
loop_
_atom_site_label
_atom_site_type_symbol
_atom_site_fract_x
_atom_site_fract_y
_atom_site_fract_z
Na1 Na 0.0000 0.0000 0.0000
Li1 Li 0.5000 0.5000 0.0000
Zn1 Zn 0.0000 0.5000 0.5000
Cu1 Cu 0.5000 0.5000 0.5000
```

* E_form: 0.082 eV per atom
* crystal system: tetragonal

***

[6]
This record from Alexandria via LeMat-Bulk describes a geometry-optimized ZnSbHI2 structure. The functional is PBE-GGA.

The structure in CIF format:
```
data_ZnSbHI2
_space_group_name_H-M_alt 'P 4/m m m'
_space_group_IT_number 123
_space_group_name_Hall '-P 4 2'
_cell_length_a 5.7074
_cell_length_b 5.7074
_cell_length_c 3.9184
_cell_angle_alpha 90.00
_cell_angle_beta 90.00
_cell_angle_gamma 90.00
loop_
_atom_site_label
_atom_site_type_symbol
_atom_site_fract_x
_atom_site_fract_y
_atom_site_fract_z
Zn1 Zn 0.0000 0.0000 0.0000
Sb1 Sb 0.5000 0.5000 0.0000
H1 H 0.5000 0.5000 0.5000
I1 I 0.0000 0.5000 0.5000
```

* crystal system: tetragonal

***

Across the entries above, final energy takes the values -2.2725, -4.7141, -3.2821, -3.8166, -1.8937, -1.9834 eV per atom, respectively.